Here is a relaxed Sm6Ho3Er2Pu crystal from the Alexandria database. Energies are from GGA-PBE.

Its raw total energy is -5.4148 eV per atom. The value obtained for the formation energy is 44 meV/atom.

The space group is C2/m (No. 12) and the conventional cell measures 6.1850, 10.7149 and 11.7318 Å, with angles of 90.00, 100.14 and 90.00 degrees. Symmetry generates all atoms from Sm at (0.2471, 0.1650, 0.2481), Sm at (0.2479, 0.0000, 0.7520), Ho at (0.0000, 0.1669, 0.5000), Ho at (0.0000, 0.5000, 0.5000), Er at (0.0000, 0.3335, 0.0000) and Pu at (0.0000, 0.0000, 0.0000).


Here is a relaxed Be4Ni crystal from the Alexandria database. Energies are from GGA-PBE.

Its raw total energy is -3.9676 eV per atom. The value obtained for the formation energy is 170 meV/atom.

The space group is I-42m (No. 121) and the conventional cell measures 4.1090, 4.1090 and 5.7636 Å, with angles of 90.00, 90.00 and 90.00 degrees. Symmetry generates all atoms from Be at (0.1772, 0.1772, 0.3393) and Ni at (0.0000, 0.0000, 0.0000).


Here is a relaxed Mn2AlCd2 crystal from the Alexandria database. Energies are from GGA-PBE.

Its raw total energy is -4.5020 eV per atom. The value obtained for the formation energy is 280 meV/atom.

The space group is P4/mbm (No. 127) and the conventional cell measures 6.3195, 6.3195 and 4.2769 Å, with angles of 90.00, 90.00 and 90.00 degrees. Symmetry generates all atoms from Mn at (0.1289, 0.3711, 0.0000), Al at (0.0000, 0.0000, 0.0000) and Cd at (0.1692, 0.6692, 0.5000).